# 1
VASP calculation (PBE-GGA) on crystalline CeNdZrN3 at its relaxed geometry.

a = 5.7436 Å, b = 3.4149 Å, c = 9.3344 Å
α = 90.00°, β = 96.04°, γ = 90.00°
With the nearest neighbours (Å) after each atom.
Fractional coordinates of all 12 atoms:
Ce 0.1882 0.2500 0.1348  5 N 2.33-2.52
Ce 0.8118 0.7500 0.8652  5 N 2.33-2.52
Nd 0.2908 0.2500 0.7672  6 N 2.54-2.60
Nd 0.7092 0.7500 0.2328  6 N 2.54-2.60
Zr 0.2433 0.7500 0.4547  6 N 2.26-2.38
Zr 0.7567 0.2500 0.5453  6 N 2.26-2.38
N 0.0149 0.7500 0.6382  3 Zr 2.26-2.37, 1 Ce 2.52
N 0.2157 0.7500 0.9671  3 Ce 2.33-2.41, 2 Nd 2.60
N 0.4699 0.2500 0.3594  3 Zr 2.26-2.38, 1 Ce 2.51
N 0.5301 0.7500 0.6407  3 Zr 2.26-2.38, 1 Ce 2.51
N 0.7843 0.2500 0.0329  3 Ce 2.33-2.41, 2 Nd 2.60
N 0.9851 0.2500 0.3618  3 Zr 2.26-2.37, 1 Ce 2.52

=====

# 2
VASP calculation (PBE-GGA) on crystalline Ce3NdZr2N6 at its relaxed geometry.

a = 5.9913 Å, b = 5.9913 Å, c = 6.0412 Å
α = 99.51°, β = 99.51°, γ = 119.95°
With the nearest neighbours (Å) after each atom.
Fractional coordinates of all 12 atoms:
Ce 0.0000 0.0000 0.0000  6 N 2.41-2.55
Ce 0.3347 0.6653 0.0000  6 N 2.41-2.56
Ce 0.6653 0.3347 0.0000  6 N 2.41-2.56
Nd 0.5000 0.5000 0.5000  6 N 2.51-2.52
Zr 0.1666 0.8334 0.5000  6 N 2.34-2.36
Zr 0.8334 0.1666 0.5000  6 N 2.34-2.36
N 0.0658 0.4209 0.2637  2 Zr 2.36, 3 Ce 2.41-2.56, 1 Nd 2.52
N 0.2211 0.2211 0.7316  2 Zr 2.34, 3 Ce 2.41-2.56, 1 Nd 2.51
N 0.4209 0.0658 0.2637  2 Zr 2.36, 3 Ce 2.41-2.56, 1 Nd 2.52
N 0.5791 0.9342 0.7363  2 Zr 2.36, 3 Ce 2.41-2.56, 1 Nd 2.52
N 0.7789 0.7789 0.2684  2 Zr 2.34, 3 Ce 2.41-2.56, 1 Nd 2.51
N 0.9342 0.5791 0.7363  2 Zr 2.36, 3 Ce 2.41-2.56, 1 Nd 2.52

=====

# 3
VASP calculation (PBE-GGA) on crystalline Ce2NiN2 at its relaxed geometry.

a = 3.5537 Å, b = 3.5537 Å, c = 6.6312 Å
α = 90.00°, β = 90.00°, γ = 120.00°
With the nearest neighbours (Å) after each atom.
Fractional coordinates of all 5 atoms:
Ce 0.0000 0.0000 0.2246  6 N 2.54-2.75, 3 Ni 2.75
Ce 0.0000 0.0000 0.7754  6 N 2.54-2.75, 3 Ni 2.75
Ni 0.3333 0.6667 0.5000  3 N 2.05
N 0.3333 0.6667 0.0000  6 Ce 2.54
N 0.6667 0.3333 0.5000  3 Ni 2.05

=====

# 4
VASP calculation (PBE-GGA) on crystalline CeNiN2 at its relaxed geometry.

a = 5.8531 Å, b = 5.8531 Å, c = 5.8531 Å
α = 37.37°, β = 37.37°, γ = 37.37°
With the nearest neighbours (Å) after each atom.
Fractional coordinates of all 4 atoms:
Ce 0.0000 0.0000 0.0000  6 N 2.38
Ni 0.5000 0.5000 0.5000  2 N 1.74
N 0.3933 0.3933 0.3933  1 Ni 1.74
N 0.6067 0.6067 0.6067  1 Ni 1.74

=====

# 5
VASP calculation (PBE-GGA) on crystalline CeNp2NiN4 at its relaxed geometry.

a = 5.8333 Å, b = 5.8333 Å, c = 11.3945 Å
α = 90.00°, β = 90.00°, γ = 145.65°
With the nearest neighbours (Å) after each atom.
Fractional coordinates of all 16 atoms:
Ce 0.1051 0.8949 0.7500  6 N 2.47-2.74
Ce 0.8949 0.1051 0.2500  6 N 2.47-2.74
Np 0.3702 0.6298 0.5577  6 N 2.26-2.38
Np 0.3702 0.6298 0.9423  6 N 2.26-2.38
Np 0.6298 0.3702 0.0577  6 N 2.26-2.38
Np 0.6298 0.3702 0.4423  6 N 2.26-2.38
Ni 0.1627 0.8373 0.2500  4 N 1.95-2.11
Ni 0.8373 0.1627 0.7500  4 N 1.95-2.11
N 0.0000 0.0000 0.0000  4 Np 2.34
N 0.0000 0.0000 0.5000  4 Np 2.34
N 0.2660 0.7340 0.1121  1 Ni 1.95
N 0.2660 0.7340 0.3879  1 Ni 1.95
N 0.4459 0.5541 0.7500  2 Ni 2.11, 2 Np 2.35
N 0.5541 0.4459 0.2500  2 Ni 2.11, 2 Np 2.35
N 0.7340 0.2660 0.6121  1 Ni 1.95
N 0.7340 0.2660 0.8879  1 Ni 1.95

=====

# 6
VASP calculation (PBE-GGA) on crystalline Ce2NpNiN5 at its relaxed geometry.

a = 6.8853 Å, b = 6.8853 Å, c = 10.4872 Å
α = 90.00°, β = 90.00°, γ = 150.91°
With the nearest neighbours (Å) after each atom.
Fractional coordinates of all 18 atoms:
Ce 0.0980 0.9020 0.5000  6 N 2.40-2.55
Ce 0.1265 0.8735 0.1683  6 N 2.45-2.59
Ce 0.8735 0.1265 0.6683  6 N 2.45-2.59
Ce 0.9020 0.0980 0.0000  6 N 2.40-2.55
Np 0.1893 0.8107 0.8568  6 N 2.05-2.22
Np 0.8107 0.1893 0.3568  6 N 2.05-2.22
Ni 0.4537 0.5463 0.2452  4 N 1.90-2.00
Ni 0.5463 0.4537 0.7452  4 N 1.90-2.00
N 0.0264 0.9736 0.8206  2 Ni 1.92
N 0.2851 0.7149 0.4856  2 Np 2.22
N 0.3045 0.6955 0.2282  1 Ni 2.00, 2 Np 2.19
N 0.3424 0.6576 0.8383  1 Np 2.05
N 0.4896 0.5104 0.5790  1 Ni 1.90
N 0.5104 0.4896 0.0790  1 Ni 1.90
N 0.6576 0.3424 0.3383  1 Np 2.05
N 0.6955 0.3045 0.7282  1 Ni 2.00, 2 Np 2.19
N 0.7149 0.2851 0.9856  2 Np 2.22
N 0.9736 0.0264 0.3206  2 Ni 1.92

=====

# 7
VASP calculation (PBE-GGA) on crystalline CeNpNiN3 at its relaxed geometry.

a = 7.0431 Å, b = 3.4028 Å, c = 7.0929 Å
α = 90.00°, β = 100.51°, γ = 90.00°
With the nearest neighbours (Å) after each atom.
Fractional coordinates of all 12 atoms:
Ce 0.2121 0.2500 0.1699  5 N 2.37-2.61
Ce 0.7879 0.7500 0.8301  5 N 2.37-2.61
Np 0.1809 0.2500 0.6574  6 N 2.21-2.36
Np 0.8191 0.7500 0.3426  6 N 2.21-2.36
Ni 0.4146 0.7500 0.9014  4 N 1.98-2.08
Ni 0.5854 0.2500 0.0986  4 N 1.98-2.08
N 0.1300 0.7500 0.8727  1 Ni 1.98
N 0.1378 0.7500 0.4250  3 Np 2.21-2.35
N 0.4969 0.7500 0.1977  3 Ni 1.98-2.08
N 0.5031 0.2500 0.8023  3 Ni 1.98-2.08
N 0.8622 0.2500 0.5750  3 Np 2.21-2.35
N 0.8700 0.2500 0.1273  1 Ni 1.98

=====

# 8
VASP calculation (PBE-GGA) on crystalline CeNiPN at its relaxed geometry.

a = 3.7507 Å, b = 3.7507 Å, c = 7.9212 Å
α = 90.00°, β = 90.00°, γ = 90.00°
With the nearest neighbours (Å) after each atom.
Fractional coordinates of all 8 atoms:
Ce 0.2500 0.2500 0.1667  1 N 2.36
Ce 0.7500 0.7500 0.8333  1 N 2.36
Ni 0.2500 0.7500 0.5000  4 P 2.23
Ni 0.7500 0.2500 0.5000  4 P 2.23
P 0.2500 0.2500 0.6516  1 N 1.72
P 0.7500 0.7500 0.3484  1 N 1.72
N 0.2500 0.2500 0.8689  1 P 1.72
N 0.7500 0.7500 0.1311  1 P 1.72

=====

no.,DFT total energy (eV for the cell shown),V (Å³/f.u.)
1,-104.4,91
2,-108.3,177
3,-38.2,73
4,-30.6,66
5,-158.7,109
6,-161.2,121
7,-109.9,84
8,-60.3,56